Material: CrRu2Se
Method: DFT, PBEsol
State: relaxed

Properties
E (eV/atom): -8.40
N(E_F) (states/eV/atom): 0.85
Energy relative to the elements, uncorrected (meV/atom): 205

a b c (Å): 5.0059 5.0059 5.0059
angles (deg): 146.60 129.62 61.80
Last column: nearest neighbours and their distance in Å.
Element x y z (fractional)
Cr 0.0000 0.0000 0.0000  2 Se 2.37, 4 Ru 2.61
Ru 0.2732 0.7732 0.5000  4 Se 2.57, 2 Cr 2.75, 6 Ru 2.80-2.88
Ru 0.5524 0.5524 0.0000  2 Se 2.43, 4 Cr 2.61
Se 0.7805 0.2805 0.5000  2 Cr 2.37, 6 Ru 2.43-2.57